# NaMgAgF4

An optimized crystal structure of NaMgAgF4 (PBE, Alexandria).

a = 6.702 Å, b = 6.674 Å, c = 6.302 Å
α = 118.18°, β = 89.99°, γ = 120.14°
Sites, in units of the cell vectors:
Na  0.500  0.500  0.500
Na  0.000  0.500  0.500
Mg  0.500  0.000  0.500
Mg  0.500  0.000  0.000
Ag  0.874  0.748  0.124
Ag  0.126  0.252  0.876
F  0.705  0.410  0.691
F  0.307  0.011  0.256
F  0.704  0.011  0.256
F  0.705  0.410  0.219
F  0.295  0.590  0.781
F  0.693  0.989  0.744
F  0.296  0.989  0.744
F  0.295  0.590  0.309

- energy relative to the elements, uncorrected (eV/atom) = -2.562
- ρ (Mg/m³) = 3.759



# CrCo2Ru

An optimized crystal structure of CrCo2Ru (PBE, Alexandria).

a = 2.575 Å, b = 3.556 Å, c = 5.152 Å
α = 90.00°, β = 90.00°, γ = 90.00°
Each line ends with the local moment (μB).
Sites, in units of the cell vectors:
Co  0.000  0.000  0.020  1.19
Co  0.500  0.500  0.245  0.93
Cr  0.000  0.000  0.484  -0.62
Ru  0.500  0.500  0.751  0.17

- distance to the lowest polymorph of the same formula (meV per atom) = 65
- ΔE_f (kJ/mol of atoms) = 11
- ρ (Mg/m³) = 9.537



# LiZrAg2

An optimized crystal structure of LiZrAg2 (PBE, Alexandria).

a = 5.229 Å, b = 5.229 Å, c = 5.132 Å
α = 81.22°, β = 81.22°, γ = 32.75°
Sites, in units of the cell vectors:
Ag  0.007  0.007  0.014
Ag  0.746  0.746  0.720
Li  0.490  0.490  0.548
Zr  0.257  0.257  0.218

- ΔE_f (kJ/mol of atoms) = -2
- ρ (Mg/m³) = 6.955



# Sb2Te2S

An optimized crystal structure of Sb2Te2S (PBE, Alexandria).

a = 6.124 Å, b = 9.776 Å, c = 11.603 Å
α = 90.00°, β = 90.00°, γ = 90.00°
Sites, in units of the cell vectors:
Sb  0.750  0.410  0.759
Sb  0.250  0.090  0.259
Sb  0.250  0.590  0.241
Sb  0.750  0.910  0.741
Sb  0.750  0.832  0.078
Sb  0.250  0.668  0.578
Sb  0.250  0.168  0.922
Sb  0.750  0.332  0.422
Te  0.750  0.624  0.581
Te  0.250  0.876  0.081
Te  0.250  0.376  0.419
Te  0.750  0.124  0.919
Te  0.750  0.067  0.313
Te  0.250  0.433  0.813
Te  0.250  0.933  0.687
Te  0.750  0.567  0.187
S  0.750  0.222  0.615
S  0.250  0.278  0.115
S  0.250  0.778  0.385
S  0.750  0.722  0.885

- energy relative to the elements, uncorrected (eV/atom) = -0.105
- ρ (Mg/m³) = 5.075



Spin magnetization, record by record: 0.0; 1.6; 0.0; 0.0 μB per formula unit